# NiBNF2 | Alexandria | PBE with a Hubbard U | relaxed
data_NiBNF2
_chemical_formula_sum 'Ni1 B1 N1 F2'
_cell_length_a 4.2555
_cell_length_b 4.2555
_cell_length_c 2.7073
_cell_angle_alpha 90.00
_cell_angle_beta 90.00
_cell_angle_gamma 90.00
_space_group_name_H-M_alt 'P 4/m m m'
_space_group_IT_number 123
_space_group_name_Hall '-P 4 2'
loop_
_atom_site_label
_atom_site_type_symbol
_atom_site_fract_x
_atom_site_fract_y
_atom_site_fract_z
Ni1 Ni 0.0000 0.0000 0.0000
B1 B 0.5000 0.5000 0.5000
N1 N 0.5000 0.5000 0.0000
F1 F 0.0000 0.5000 0.5000
# Energy above the most stable polymorph in this dataset (eV per formula unit): 0.000